Entry 1:
# Rb3Cu2Cl6 | Alexandria | PBE-GGA | relaxed
# - Formation energy from raw total energies: -1306 meV per atom
# - Calculated total energy: -73.071 eV per cell
# - Spin magnetization: 0.0 μB per formula unit
data_Rb3Cu2Cl6
_space_group_name_H-M_alt 'I 4/m m m'
_space_group_IT_number 139
_space_group_name_Hall '-I 4 2'
_cell_length_a 4.772
_cell_length_b 4.772
_cell_length_c 27.055
_cell_angle_alpha 90.00
_cell_angle_beta 90.00
_cell_angle_gamma 90.00
loop_
_atom_site_label
_atom_site_type_symbol
_atom_site_fract_x
_atom_site_fract_y
_atom_site_fract_z
Rb1 Rb 0.000 0.000 0.000
Rb2 Rb 0.000 0.000 0.182
Cu1 Cu 0.000 0.000 0.396
Cl1 Cl 0.000 0.000 0.306
Cl2 Cl 0.000 0.500 0.086


Entry 2:
# RbCu2Cl4 | Alexandria | PBE-GGA | relaxed
# - Formation energy from raw total energies: -898 meV per atom
# - Calculated total energy: -45.667 eV per cell
# - Spin magnetization: 1.0 μB per formula unit
# - Energy relative to the lowest polymorph listed for this composition: 25.9 meV per atom
data_RbCu2Cl4
_space_group_name_H-M_alt 'P 1'
_space_group_IT_number 1
_cell_length_a 6.876
_cell_length_b 6.877
_cell_length_c 10.081
_cell_angle_alpha 104.57
_cell_angle_beta 104.69
_cell_angle_gamma 104.91
loop_
_space_group_symop_operation_xyz
'x,y,z'
loop_
_atom_site_label
_atom_site_type_symbol
_atom_site_fract_x
_atom_site_fract_y
_atom_site_fract_z
Rb1 Rb 0.000 0.000 0.000
Rb2 Rb 0.250 0.751 0.500
Cu1 Cu 0.110 0.377 0.747
Cu2 Cu 0.613 0.381 0.753
Cu3 Cu 0.626 0.862 0.248
Cu4 Cu 0.630 0.365 0.253
Cl1 Cl 0.296 0.153 0.776
Cl2 Cl 0.376 0.522 0.223
Cl3 Cl 0.403 0.049 0.277
Cl4 Cl 0.459 0.635 0.788
Cl5 Cl 0.770 0.128 0.724
Cl6 Cl 0.846 0.673 0.213
Cl7 Cl 0.884 0.210 0.287
Cl8 Cl 0.921 0.597 0.712


Entry 3:
# Rb2CuCl3 | Alexandria | PBE-GGA | relaxed
# - Formation energy from raw total energies: -1443 meV per atom
# - Calculated total energy: -80.917 eV per cell
# - Spin magnetization: 0.1 μB per formula unit
# - Energy relative to the lowest polymorph listed for this composition: 0.0 meV per atom
data_Rb2CuCl3
_space_group_name_H-M_alt 'C 1 2/c 1'
_space_group_IT_number 15
_cell_length_a 12.445
_cell_length_b 7.969
_cell_length_c 8.631
_cell_angle_alpha 90.00
_cell_angle_beta 114.38
_cell_angle_gamma 90.00
loop_
_space_group_symop_operation_xyz
'x,y,z'
'-x,-y,-z'
'-x,y,-z+1/2'
'x,-y,z+1/2'
'x+1/2,y+1/2,z'
'-x+1/2,-y+1/2,-z'
'-x+1/2,y+1/2,-z+1/2'
'x+1/2,-y+1/2,z+1/2'
loop_
_atom_site_label
_atom_site_type_symbol
_atom_site_fract_x
_atom_site_fract_y
_atom_site_fract_z
Rb1 Rb 0.159 0.185 0.170
Cu1 Cu 0.000 0.401 0.750
Cl1 Cl 0.000 0.115 0.750
Cl2 Cl 0.155 0.469 0.448


Entry 4:
# Rb3Cu2Cl7 | Alexandria | PBE-GGA | relaxed
# - Formation energy from raw total energies: -1220 meV per atom
# - Calculated total energy: -77.321 eV per cell
# - Spin magnetization: 0.0 μB per formula unit
# - Energy relative to the lowest polymorph listed for this composition: 37.0 meV per atom
data_Rb3Cu2Cl7
_space_group_name_H-M_alt 'C m m m'
_space_group_IT_number 65
_space_group_name_Hall '-C 2 2'
_cell_length_a 5.044
_cell_length_b 25.569
_cell_length_c 4.851
_cell_angle_alpha 90.00
_cell_angle_beta 90.00
_cell_angle_gamma 90.00
loop_
_atom_site_label
_atom_site_type_symbol
_atom_site_fract_x
_atom_site_fract_y
_atom_site_fract_z
Rb1 Rb 0.000 0.000 0.000
Rb2 Rb 0.000 0.181 0.000
Cu1 Cu 0.000 0.405 0.500
Cl1 Cl 0.000 0.093 0.500
Cl2 Cl 0.000 0.311 0.500
Cl3 Cl 0.000 0.407 0.000
Cl4 Cl 0.000 0.500 0.500


Entry 5:
# Rb2CuCl5 | Alexandria | PBE-GGA | relaxed
# - Formation energy from raw total energies: -1164 meV per atom
# - Calculated total energy: -24.575 eV per cell
# - Spin magnetization: 0.9 μB per formula unit
# - Energy relative to the lowest polymorph listed for this composition: 15.4 meV per atom
data_Rb2CuCl5
_space_group_name_H-M_alt 'P 4/m m m'
_space_group_IT_number 123
_space_group_name_Hall '-P 4 2'
_cell_length_a 6.997
_cell_length_b 6.997
_cell_length_c 4.971
_cell_angle_alpha 90.00
_cell_angle_beta 90.00
_cell_angle_gamma 90.00
loop_
_atom_site_label
_atom_site_type_symbol
_atom_site_fract_x
_atom_site_fract_y
_atom_site_fract_z
Rb1 Rb 0.000 0.500 0.000
Cu1 Cu 0.000 0.000 0.500
Cl1 Cl 0.000 0.000 0.000
Cl2 Cl 0.234 0.234 0.500


Entry 6:
# Rb3Cu2Cl7 | Alexandria | PBE-GGA | relaxed
# - Formation energy from raw total energies: -1257 meV per atom
# - Calculated total energy: -156.418 eV per cell
# - Spin magnetization: 0.0 μB per formula unit
# - Energy relative to the lowest polymorph listed for this composition: 0.0 meV per atom
data_Rb3Cu2Cl7
_space_group_name_H-M_alt 'C c c e'
_space_group_IT_number 68
_cell_length_a 7.351
_cell_length_b 25.100
_cell_length_c 7.349
_cell_angle_alpha 90.00
_cell_angle_beta 90.00
_cell_angle_gamma 90.00
loop_
_space_group_symop_operation_xyz
'x,y,z'
'-x,-y,-z'
'-x+1/2,-y,z'
'x+1/2,y,-z'
'x+1/2,-y,-z+1/2'
'-x+1/2,y,z+1/2'
'-x,y,-z+1/2'
'x,-y,z+1/2'
'x+1/2,y+1/2,z'
'-x+1/2,-y+1/2,-z'
'-x,-y+1/2,z'
'x,y+1/2,-z'
'x,-y+1/2,-z+1/2'
'-x,y+1/2,z+1/2'
'-x+1/2,y+1/2,-z+1/2'
'x+1/2,-y+1/2,z+1/2'
loop_
_atom_site_label
_atom_site_type_symbol
_atom_site_fract_x
_atom_site_fract_y
_atom_site_fract_z
Rb1 Rb 0.000 0.071 0.250
Rb2 Rb 0.000 0.250 0.250
Cu1 Cu 0.000 0.155 0.750
Cl1 Cl 0.000 0.061 0.750
Cl2 Cl 0.000 0.250 0.750
Cl3 Cl 0.215 0.158 0.535


Entry 7:
# Rb3Cu2Cl7 | Alexandria | PBE-GGA | relaxed
# - Formation energy from raw total energies: -1235 meV per atom
# - Calculated total energy: -77.694 eV per cell
# - Spin magnetization: 0.0 μB per formula unit
# - Energy relative to the lowest polymorph listed for this composition: 21.5 meV per atom
data_Rb3Cu2Cl7
_space_group_name_H-M_alt 'I 4/m m m'
_space_group_IT_number 139
_space_group_name_Hall '-I 4 2'
_cell_length_a 4.953
_cell_length_b 4.953
_cell_length_c 25.672
_cell_angle_alpha 90.00
_cell_angle_beta 90.00
_cell_angle_gamma 90.00
loop_
_atom_site_label
_atom_site_type_symbol
_atom_site_fract_x
_atom_site_fract_y
_atom_site_fract_z
Rb1 Rb 0.000 0.000 0.000
Rb2 Rb 0.000 0.000 0.181
Cu1 Cu 0.000 0.000 0.405
Cl1 Cl 0.000 0.000 0.312
Cl2 Cl 0.000 0.000 0.500
Cl3 Cl 0.000 0.500 0.092


Entry 8:
# RbCu3Cl | Alexandria | PBE-GGA | relaxed
# - Formation energy from raw total energies: 1552 meV per atom
# - Calculated total energy: -7.341 eV per cell
# - Spin magnetization: 0.9 μB per formula unit
# - Energy relative to the lowest polymorph listed for this composition: 795.7 meV per atom
data_RbCu3Cl
_space_group_name_H-M_alt 'P m -3 m'
_space_group_IT_number 221
_space_group_name_Hall '-P 4 2 3'
_cell_length_a 5.632
_cell_length_b 5.632
_cell_length_c 5.632
_cell_angle_alpha 90.00
_cell_angle_beta 90.00
_cell_angle_gamma 90.00
loop_
_atom_site_label
_atom_site_type_symbol
_atom_site_fract_x
_atom_site_fract_y
_atom_site_fract_z
Rb1 Rb 0.000 0.000 0.000
Cu1 Cu 0.000 0.000 0.500
Cl1 Cl 0.500 0.500 0.500